A plane-wave DFT calculation with GGA-PBE was carried out for an optimized crystal structure of Sr2BeIr.

abc: 5.004 5.004 5.004
angles: 60.00 60.00 60.00
Positions (direct):
Sr1 0.000 0.000 0.000
Sr2 0.250 0.250 0.250
Be1 0.500 0.500 0.500
Ir1 0.750 0.750 0.750

Calculated values
* N(E_F): 1.21 states/eV per atom
* total energy: -3.53 eV per atom

A plane-wave DFT calculation with GGA-PBE was carried out for an optimized crystal structure of SrBe2Ir.

abc: 4.371 3.838 4.929
angles: 90.00 94.54 90.00
Positions (direct):
Sr1 0.000 0.000 0.000
Be1 0.301 0.500 0.535
Be2 0.557 0.000 0.482
Ir1 0.794 0.500 0.485

Calculated values
* N(E_F): 0.37 states/eV per atom
* total energy: -4.54 eV per atom
* offset from the most stable computed form: 0.271 eV per atom